No. 1
VASP calculation (PBE) on a geometry-optimized NpSnIr structure.

The calculation puts the spin magnetization at 3.83 μB per formula unit. The crystal system is orthorhombic. The total energy is -8.730 eV/atom. As for the density: 14.28 g cm⁻³.

The structure belongs to space group Cmcm (No. 63); the cell edges are 3.0688, 15.9503 and 5.2084 Å and the angles 90.00°, 90.00° and 90.00°. The inequivalent atoms are Np at (0.0000, 0.0863, 0.2500), Sn at (0.0000, 0.2190, 0.7500) and Ir at (0.0000, 0.4337, 0.2500).


No. 2
VASP calculation (PBE) on a geometry-optimized BaNpP2N6 structure.

The calculation puts the spin magnetization at 1.00 μB per formula unit. The crystal system is monoclinic. The total energy is -8.135 eV/atom. As for the density: 5.96 g cm⁻³.

The structure belongs to space group C2/c (No. 15); the cell edges are 10.2282, 10.6254 and 5.5310 Å and the angles 90.00°, 105.18° and 90.00°. The inequivalent atoms are Ba at (0.0000, 0.0973, 0.2500), Np at (0.0000, 0.3075, 0.7500), P at (0.2174, 0.4205, 0.1520), N at (0.0914, 0.3181, 0.1054), N at (0.1371, 0.1428, 0.7344) and N at (0.1879, 0.4660, 0.8437).


No. 3
VASP calculation (PBE) on a geometry-optimized DyTm2Th6 structure.

The calculation puts the spin magnetization at 0.00 μB per formula unit. The crystal system is triclinic. The total energy is -6.413 eV/atom. As for the density: 11.00 g cm⁻³.

The structure belongs to space group P-1 (No. 2); the cell edges are 7.9304, 9.4124 and 9.4253 Å and the angles 64.15°, 84.96° and 65.33°. The inequivalent atoms are Dy at (0.1101, 0.3065, 0.3609), Tm at (0.2235, 0.3597, 0.9722), Tm at (0.4433, 0.9727, 0.6951), Th at (0.0009, 0.2482, 0.7496), Th at (0.1145, 0.8064, 0.8606), Th at (0.2203, 0.8598, 0.4734), Th at (0.3331, 0.4171, 0.5849), Th at (0.3348, 0.9162, 0.0821) and Th at (0.4483, 0.4731, 0.1929).


No. 4
VASP calculation (PBE) on a geometry-optimized AlPbW2 structure.

The calculation puts the spin magnetization at 0.00 μB per formula unit. The crystal system is tetragonal. As for the density: 13.47 g cm⁻³. For the excess energy over the best structure of this formula in the dataset, the calculation gives 1.68 eV per formula unit.

The structure belongs to space group P4/mmm (No. 123); the cell edges are 2.8262, 2.8262 and 9.2859 Å and the angles 90.00°, 90.00° and 90.00°. The inequivalent atoms are Al at (0.0000, 0.0000, 0.0000), Pb at (0.0000, 0.0000, 0.5000) and W at (0.5000, 0.5000, 0.2138).


No. 5
VASP calculation (PBE) on a geometry-optimized BaTa2Ir structure.

The calculation puts the spin magnetization at 0.00 μB per formula unit. The crystal system is orthorhombic. As for the density: 12.61 g cm⁻³. For the excess energy over the best structure of this formula in the dataset, the calculation gives 1.18 eV per formula unit.

The structure belongs to space group Immm (No. 71); the cell edges are 2.9965, 5.4221 and 11.2092 Å and the angles 90.00°, 90.00° and 90.00°. The inequivalent atoms are Ba at (0.0000, 0.0000, 0.0000), Ta at (0.0000, 0.5000, 0.2022) and Ir at (0.0000, 0.0000, 0.5000).


No. 6
VASP calculation (PBE) on a geometry-optimized VRe2Ru2 structure.

The calculation puts the spin magnetization at 0.00 μB per formula unit. The crystal system is tetragonal. As for the density: 13.57 g cm⁻³. For the excess energy over the best structure of this formula in the dataset, the calculation gives 0.05 eV per formula unit.

The structure belongs to space group P4/mbm (No. 127); the cell edges are 7.4555, 7.4555 and 2.7549 Å and the angles 90.00°, 90.00° and 90.00°. The inequivalent atoms are V at (0.0000, 0.0000, 0.0000), Re at (0.1239, 0.3761, 0.0000) and Ru at (0.1718, 0.6718, 0.5000).


No. 7
VASP calculation (PBE) on a geometry-optimized ThHIr structure.

The calculation puts the spin magnetization at 0.00 μB per formula unit. The crystal system is orthorhombic. As for the density: 13.08 g cm⁻³. For the excess energy over the best structure of this formula in the dataset, the calculation gives 0.33 eV per formula unit.

The structure belongs to space group Fmmm (No. 69); the cell edges are 5.5041, 6.1216 and 12.8179 Å and the angles 90.00°, 90.00° and 90.00°. The inequivalent atoms are Th at (0.0000, 0.0000, 0.1511), H at (0.0000, 0.1862, 0.5000) and Ir at (0.0000, 0.0000, 0.3851).


No. 8
VASP calculation (PBE) on a geometry-optimized MnZnSn2 structure.

The calculation puts the spin magnetization at 3.07 μB per formula unit. The crystal system is trigonal. The total energy is -4.384 eV/atom. As for the density: 6.87 g cm⁻³.

The structure belongs to space group R-3m (No. 166, hexagonal axes); the cell edges are 3.2554, 3.2554 and 28.2814 Å and the angles 90.00°, 90.00° and 120.00°. The inequivalent atoms are Mn at (0.0000, 0.0000, 0.0000), Zn at (0.0000, 0.0000, 0.5000) and Sn at (0.0000, 0.0000, 0.4060).


No. 9
VASP calculation (PBE) on a geometry-optimized NaMg2H4 structure.

The calculation puts the spin magnetization at 0.00 μB per formula unit. The crystal system is monoclinic. As for the density: 1.02 g cm⁻³. For the excess energy over the best structure of this formula in the dataset, the calculation gives 0.37 eV per formula unit.

The structure belongs to space group P2/m (No. 10); the cell edges are 5.1113, 3.0427 and 8.0195 Å and the angles 90.00°, 100.34° and 90.00°. The inequivalent atoms are Na at (0.0000, 0.0000, 0.0000), Mg at (0.0000, 0.0000, 0.5000), Mg at (0.5000, 0.5000, 0.5000), H at (0.2000, 0.5000, 0.6199) and H at (0.2995, 0.0000, 0.3794).


No. 10
VASP calculation (PBE) on a geometry-optimized SrCaFe4 structure.

The calculation puts the spin magnetization at 8.75 μB per formula unit. The crystal system is cubic. The total energy is -5.839 eV/atom. As for the density: 5.55 g cm⁻³.

The structure belongs to space group F-43m (No. 216); the cell edges are 7.4887, 7.4887 and 7.4887 Å and the angles 90.00°, 90.00° and 90.00°. The inequivalent atoms are Sr at (0.0000, 0.0000, 0.0000), Ca at (0.2500, 0.2500, 0.7500) and Fe at (0.1235, 0.1235, 0.3765).


No. 11
VASP calculation (PBE) on a geometry-optimized CaPrSn structure.

The calculation puts the spin magnetization at 0.18 μB per formula unit. The crystal system is trigonal. The total energy is -3.994 eV/atom. As for the density: 5.26 g cm⁻³.

The structure belongs to space group P3m1 (No. 156); the cell edges are 5.3116, 5.3116 and 3.8749 Å and the angles 90.00°, 90.00° and 120.00°. The inequivalent atoms are Ca at (0.0000, 0.0000, 0.0000), Pr at (0.3333, 0.6667, 0.5509) and Sn at (0.6667, 0.3333, 0.2107).


No. 12
VASP calculation (PBE) on a geometry-optimized K4CaTe3O12 structure.

The calculation puts the spin magnetization at 0.00 μB per formula unit. The crystal system is cubic. The total energy is -5.217 eV/atom. As for the density: 4.62 g cm⁻³.

The structure belongs to space group Im-3m (No. 229); the cell edges are 8.2151, 8.2151 and 8.2151 Å and the angles 90.00°, 90.00° and 90.00°. The inequivalent atoms are K at (0.2500, 0.2500, 0.2500), Ca at (0.0000, 0.0000, 0.0000), Te at (0.0000, 0.0000, 0.5000), O at (0.0000, 0.0000, 0.2745) and O at (0.0000, 0.2500, 0.5000).


No. 13
VASP calculation (PBE) on a geometry-optimized KMo2As structure.

The calculation puts the spin magnetization at 0.45 μB per formula unit. The crystal system is orthorhombic. The total energy is -5.612 eV/atom. As for the density: 6.47 g cm⁻³.

The structure belongs to space group Pmmm (No. 47); the cell edges are 3.5606, 4.5382 and 4.8596 Å and the angles 90.00°, 90.00° and 90.00°. The inequivalent atoms are K at (0.0000, 0.0000, 0.0000), Mo at (0.0000, 0.5000, 0.5000), Mo at (0.5000, 0.0000, 0.5000) and As at (0.5000, 0.5000, 0.0000).


No. 14
VASP calculation (PBE) on a geometry-optimized CePm2Ge3Ir4 structure.

The calculation puts the spin magnetization at 0.00 μB per formula unit. The crystal system is tetragonal. The total energy is -7.241 eV/atom. As for the density: 11.76 g cm⁻³.

The structure belongs to space group P-4m2 (No. 115); the cell edges are 4.2478, 4.2478 and 11.0871 Å and the angles 90.00°, 90.00° and 90.00°. The inequivalent atoms are Ce at (0.0000, 0.0000, 0.0000), Pm at (0.0000, 0.5000, 0.7231), Ge at (0.0000, 0.5000, 0.3764), Ge at (0.5000, 0.5000, 0.0000), Ir at (0.0000, 0.0000, 0.5000), Ir at (0.0000, 0.5000, 0.1539) and Ir at (0.5000, 0.5000, 0.5000).


No. 15
VASP calculation (PBE) on a geometry-optimized ThVN3 structure.

The calculation puts the spin magnetization at 0.00 μB per formula unit. The crystal system is orthorhombic. The total energy is -9.528 eV/atom. As for the density: 9.21 g cm⁻³.

The structure belongs to space group Pnma (No. 62); the cell edges are 5.5143, 7.7516 and 5.4850 Å and the angles 90.00°, 90.00° and 90.00°. The inequivalent atoms are Th at (0.0384, 0.2500, 0.0028), V at (0.0000, 0.0000, 0.5000), N at (0.0105, 0.7500, 0.4356) and N at (0.2079, 0.5337, 0.7881).


No. 16
VASP calculation (PBE) on a geometry-optimized BaLiInAg structure.

The calculation puts the spin magnetization at 0.00 μB per formula unit. The crystal system is monoclinic. As for the density: 5.18 g cm⁻³. For the excess energy over the best structure of this formula in the dataset, the calculation gives 0.00 eV per formula unit.

The structure belongs to space group Cm (No. 8); the cell edges are 8.3839, 4.8345 and 6.4333 Å and the angles 90.00°, 115.62° and 90.00°. The inequivalent atoms are Ba at (0.0000, 0.0000, 0.0000), Li at (0.3100, 0.5000, 0.4302), In at (0.4971, 0.0000, 0.4908) and Ag at (0.1970, 0.0000, 0.5905).


No. 17
VASP calculation (PBE) on a geometry-optimized TePbS2N structure.

The calculation puts the spin magnetization at 1.22 μB per formula unit. The crystal system is tetragonal. As for the density: 5.77 g cm⁻³. For the excess energy over the best structure of this formula in the dataset, the calculation gives 3.12 eV per formula unit.

The structure belongs to space group P4/mmm (No. 123); the cell edges are 5.2813, 5.2813 and 4.2634 Å and the angles 90.00°, 90.00° and 90.00°. The inequivalent atoms are Te at (0.0000, 0.0000, 0.0000), Pb at (0.5000, 0.5000, 0.5000), S at (0.0000, 0.5000, 0.5000) and N at (0.5000, 0.5000, 0.0000).


No. 18
VASP calculation (PBE) on a geometry-optimized TbY2Ir structure.

The calculation puts the spin magnetization at 0.00 μB per formula unit. The crystal system is tetragonal. As for the density: 8.19 g cm⁻³. For the excess energy over the best structure of this formula in the dataset, the calculation gives 0.75 eV per formula unit.

The structure belongs to space group P4/mmm (No. 123); the cell edges are 3.4898, 3.4898 and 8.8081 Å and the angles 90.00°, 90.00° and 90.00°. The inequivalent atoms are Tb at (0.0000, 0.0000, 0.0000), Y at (0.5000, 0.5000, 0.3134) and Ir at (0.0000, 0.0000, 0.5000).


No. 19
VASP calculation (PBE) on a geometry-optimized K2LaCr structure.

The calculation puts the spin magnetization at 4.44 μB per formula unit. The crystal system is monoclinic. As for the density: 2.87 g cm⁻³. For the excess energy over the best structure of this formula in the dataset, the calculation gives 1.04 eV per formula unit.

The structure belongs to space group P2/m (No. 10); the cell edges are 3.6612, 6.8938 and 6.1688 Å and the angles 90.00°, 93.34° and 90.00°. The inequivalent atoms are K at (0.2295, 0.0000, 0.2658), La at (0.5000, 0.5000, 0.0000) and Cr at (0.0000, 0.5000, 0.5000).


No. 20
VASP calculation (PBE) on a geometry-optimized LiTbErNi structure.

The calculation puts the spin magnetization at 0.00 μB per formula unit. The crystal system is cubic. The total energy is -4.367 eV/atom. As for the density: 7.78 g cm⁻³.

The structure belongs to space group F-43m (No. 216); the cell edges are 6.9423, 6.9423 and 6.9423 Å and the angles 90.00°, 90.00° and 90.00°. The inequivalent atoms are Li at (0.0000, 0.0000, 0.0000), Tb at (0.2500, 0.2500, 0.2500), Er at (0.2500, 0.2500, 0.7500) and Ni at (0.0000, 0.0000, 0.5000).